! Ba2LiTh (PBE, optimized geometry); values from VASP
! space-group type	R-3m
! formation energy from the elements	0.47	eV/atom
&SYSTEM
  ibrav = 0, nat = 4, ntyp = 3
/
ATOMIC_SPECIES
Ba 137.33 Ba.upf
Li 6.94 Li.upf
Th 232.04 Th.upf
ATOMIC_POSITIONS crystal
Ba 0.090 0.090 0.090
Ba 0.910 0.910 0.910
Li 0.500 0.500 0.500
Th 0.000 0.000 0.000
CELL_PARAMETERS angstrom
1.845 1.065 13.555
-1.845 1.065 13.555
0.000 -2.131 13.555

! Np8As5P3 (PBE, optimized geometry); values from VASP
! space-group type	R-3m
! formation energy from the elements	-0.75	eV/atom
&SYSTEM
  ibrav = 0, nat = 16, ntyp = 3
/
ATOMIC_SPECIES
Np 237.00 Np.upf
As 74.92 As.upf
P 30.97 P.upf
ATOMIC_POSITIONS crystal
Np 0.243 0.750 0.750
Np 0.247 0.247 0.247
Np 0.250 0.250 0.757
Np 0.250 0.757 0.250
Np 0.750 0.243 0.750
Np 0.750 0.750 0.243
Np 0.753 0.753 0.753
Np 0.757 0.250 0.250
As 0.000 0.000 0.000
As 0.000 0.500 0.500
As 0.500 0.000 0.500
As 0.500 0.500 0.000
As 0.500 0.500 0.500
P 0.000 0.000 0.500
P 0.000 0.500 0.000
P 0.500 0.000 0.000
CELL_PARAMETERS angstrom
4.058 2.343 6.622
-4.058 2.343 6.622
0.000 -4.685 6.622

! PuThBiSb (PBE, optimized geometry); values from VASP
! E_form (uncorrected)	-0.54	eV/atom
! space-group type	F-43m
&SYSTEM
  ibrav = 0, nat = 4, ntyp = 4
/
ATOMIC_SPECIES
Pu 244.00 Pu.upf
Th 232.04 Th.upf
Bi 208.98 Bi.upf
Sb 121.76 Sb.upf
ATOMIC_POSITIONS crystal
Pu 0.000 0.000 0.000
Th 0.500 0.500 0.500
Bi 0.250 0.250 0.250
Sb 0.750 0.750 0.750
CELL_PARAMETERS angstrom
0.000 3.878 3.878
3.878 0.000 3.878
3.878 3.878 0.000

! TbSm2Ho2Er (PBE, optimized geometry); values from VASP
! space-group type	Pnnm
! formation energy from the elements	0.27	eV/atom
&SYSTEM
  ibrav = 0, nat = 12, ntyp = 4
/
ATOMIC_SPECIES
Tb 158.93 Tb.upf
Sm 150.36 Sm.upf
Ho 164.93 Ho.upf
Er 167.26 Er.upf
ATOMIC_POSITIONS crystal
Tb 0.000 0.000 0.000
Tb 0.500 0.500 0.500
Sm 0.230 0.315 0.000
Sm 0.270 0.815 0.500
Sm 0.730 0.185 0.500
Sm 0.770 0.685 0.000
Ho 0.228 0.146 0.500
Ho 0.272 0.646 0.000
Ho 0.728 0.354 0.000
Ho 0.772 0.854 0.500
Er 0.000 0.500 0.000
Er 0.500 0.000 0.500
CELL_PARAMETERS angstrom
6.555 0.000 0.000
0.000 17.861 0.000
0.000 0.000 3.371

| no. | M_tot (μB/atom) |
| --- | --- |
| 1 | 0.00 |
| 2 | 1.91 |
| 3 | 1.51 |
| 4 | 0.00 |